No. 1
Density functional theory data (PBE) for a geometry-optimized Pa2ReTcN6 structure.

Summary:
N(E_F) = 0.2381 states/eV per atom
Volume = 125.1 Å³ per cell
Uncorrected formation energy = -818.0 kJ/mol of formula units
Energy = -0.3684 hartree per atom
Size of the total moment = 0.00 μB/atom

Cell: 5.505 5.572 5.674 Å, 60.77 60.94 60.45°
Element x y z (fractional)
N: 0.193 0.963 0.247
N: 0.688 0.114 0.753
N: 0.560 0.143 0.299
N: 0.096 0.460 0.763
N: 0.965 0.595 0.258
N: 0.463 0.664 0.780
Pa: 0.522 0.534 0.413
Pa: 0.048 0.031 0.894
Tc: 0.806 0.835 0.539
Re: 0.321 0.323 0.068



No. 2
Density functional theory data (PBE) for a geometry-optimized Th2PaReN6 structure.

Summary:
N(E_F) = 0.2801 states/eV per atom
Volume = 157.5 Å³ per cell
Uncorrected formation energy = -1014.6 kJ/mol of formula units
Energy = -0.3574 hartree per atom
Size of the total moment = 0.00 μB/atom

Cell: 5.068 5.574 5.574 Å, 90.00 90.00 90.00°
Element x y z (fractional)
Pa: 0.577 0.500 0.500
Th: 0.002 0.000 0.500
Th: 0.002 0.500 0.000
N: 0.731 0.762 0.762
N: 0.731 0.238 0.238
N: 0.224 0.000 0.000
N: 0.731 0.238 0.762
N: 0.137 0.500 0.500
N: 0.731 0.762 0.238
Re: 0.578 0.000 0.000



No. 3
Density functional theory data (PBE) for a geometry-optimized Pa3Tl3ReN8 structure.

Summary:
N(E_F) = 0.3090 states/eV per atom
Volume = 274.3 Å³ per cell
Uncorrected formation energy = -854.8 kJ/mol of formula units
Energy = -0.3026 hartree per atom
Size of the total moment = 0.05 μB/atom

Cell: 6.899 6.900 7.757 Å, 116.43 89.99 120.00°
Element x y z (fractional)
Tl: 0.000 0.500 0.000
Tl: 0.500 0.500 0.000
Tl: 0.000 0.000 0.000
Pa: 0.000 0.500 0.500
Pa: 0.500 0.000 0.500
Pa: 0.500 0.500 0.500
N: 0.203 0.406 0.652
N: 0.254 0.051 0.348
N: 0.797 0.051 0.348
N: 0.746 0.949 0.652
N: 0.717 0.434 0.651
N: 0.283 0.566 0.349
N: 0.797 0.594 0.348
N: 0.203 0.949 0.652
Re: 0.000 0.000 0.500